Compound: Tc2Te
Source: Alexandria
Functional: PBE
Structure: relaxed

Cell: 3.179 13.969 4.641 Å, 90.00 90.00 90.00°
Space group Cmcm (No. 63)
Symmetry-distinct sites (fractional):
1 Tc 0.000 0.040 0.250 x4
2 Tc 0.000 0.295 0.750 x4
3 Te 0.000 0.378 0.250 x4

ΔE_f (raw): 38.0 kJ/mol of atoms
relative energy among the computed polymorphs: 399 meV per atom
volume: 17.174 Å³/atom
mass density: 10.43 g/cm3
DFT total energy: -7.564 eV per atom